Material: FeAgRu2N
Method: DFT, PBE
State: relaxed

Cell lengths 4.053, 4.053, 3.949 Å; angles 90.00, 90.00, 90.00 degrees
Element x y z (fractional)
1 Fe 0.000 0.000 0.000
2 Ag 0.500 0.500 0.000
3 Ru 0.000 0.500 0.500
4 Ru 0.500 0.000 0.500
5 N 0.000 0.000 0.500

Output
Electronic total energy ... -7.344 eV/atom
Energy relative to the elements, uncorrected ... 295 meV/atom

Material: FeAgSeN2
Method: DFT, PBE
State: relaxed

Cell lengths 3.963, 3.963, 6.233 Å; angles 90.00, 90.00, 90.00 degrees
Element x y z (fractional)
1 Fe 0.000 0.000 0.000
2 Ag 0.500 0.500 0.500
3 Se 0.500 0.500 0.000
4 N 0.000 0.500 0.500
5 N 0.500 0.000 0.500

Output
Polymorph energy (0 for the lowest one) ... 1180.5 meV/atom
Electronic total energy ... -4.335 eV/atom
Energy relative to the elements, uncorrected ... 1955 meV/atom

Material: FeAgSeN2
Method: DFT, PBE
State: relaxed

Cell lengths 3.622, 3.622, 5.445 Å; angles 90.00, 90.00, 90.00 degrees
Element x y z (fractional)
1 Fe 0.000 0.000 0.000
2 Ag 0.500 0.500 0.500
3 Se 0.000 0.000 0.500
4 N 0.000 0.500 0.000
5 N 0.500 0.000 0.000

Output
Polymorph energy (0 for the lowest one) ... 0.0 meV/atom
Electronic total energy ... -5.515 eV/atom
Energy relative to the elements, uncorrected ... 775 meV/atom

Material: Fe2SiAgN
Method: DFT, PBE
State: relaxed

Cell lengths 3.734, 3.734, 4.420 Å; angles 90.00, 90.00, 90.00 degrees
Element x y z (fractional)
1 Fe 0.000 0.500 0.000
2 Fe 0.500 0.000 0.000
3 Si 0.000 0.000 0.500
4 Ag 0.500 0.500 0.500
5 N 0.500 0.500 0.000

Output
Electronic total energy ... -6.209 eV/atom
Energy relative to the elements, uncorrected ... 496 meV/atom

Material: SrFeAgN2
Method: DFT, PBE
State: relaxed

Cell lengths 3.831, 3.831, 5.777 Å; angles 90.00, 90.00, 90.00 degrees
Element x y z (fractional)
1 Sr 0.000 0.000 0.000
2 Fe 0.000 0.000 0.500
3 Ag 0.500 0.500 0.000
4 N 0.000 0.500 0.500
5 N 0.500 0.000 0.500

Output
Electronic total energy ... -4.904 eV/atom
Energy relative to the elements, uncorrected ... 1026 meV/atom

Material: TaFe2AgN
Method: DFT, PBE
State: relaxed

Cell lengths 4.780, 4.780, 3.947 Å; angles 90.00, 90.00, 90.00 degrees
Element x y z (fractional)
1 Ta 0.000 0.000 0.000
2 Fe 0.000 0.500 0.000
3 Fe 0.500 0.000 0.000
4 Ag 0.500 0.500 0.500
5 N 0.000 0.000 0.500

Output
Electronic total energy ... -6.829 eV/atom
Energy relative to the elements, uncorrected ... 1162 meV/atom

Material: Fe2TcAgN
Method: DFT, PBE
State: relaxed

Cell lengths 3.948, 3.948, 4.002 Å; angles 90.00, 90.00, 90.00 degrees
Element x y z (fractional)
1 Fe 0.000 0.500 0.000
2 Fe 0.500 0.000 0.000
3 Tc 0.000 0.000 0.500
4 Ag 0.500 0.500 0.500
5 N 0.000 0.000 0.000

Output
Electronic total energy ... -7.551 eV/atom
Energy relative to the elements, uncorrected ... 142 meV/atom

Material: FeTc2AgN
Method: DFT, PBE
State: relaxed

Cell lengths 4.066, 4.066, 3.904 Å; angles 90.00, 90.00, 90.00 degrees
Element x y z (fractional)
1 Fe 0.000 0.000 0.000
2 Tc 0.000 0.500 0.500
3 Tc 0.500 0.000 0.500
4 Ag 0.500 0.500 0.000
5 N 0.000 0.000 0.500

Output
Electronic total energy ... -7.864 eV/atom
Energy relative to the elements, uncorrected ... 210 meV/atom